[1]
The following is a DFT calculation (PBEsol) of Sb2AsAu after structural relaxation.

```
Sb2AsAu
1.0
-3.0183 2.5825 0.4322
-3.2956 -0.3881 -2.2258
-4.7961 -3.1957 4.0718
Sb As Au
2 1 1
direct
0.2471 0.2471 0.2586
0.7529 0.7529 0.7414
0.0000 0.0000 0.0000
0.5000 0.5000 0.5000
```

Space group = R-3m
Total magnetization = 0.00 μB/atom
Electronic total energy = -4.573 eV per atom
Formation energy without anion corrections = -0.15 eV/f.u.

[2]
The following is a DFT calculation (PBEsol) of Sb2AsAu after structural relaxation.

```
Sb2AsAu
1.0
-1.5589 -2.2641 -2.9780
0.9538 -3.9297 -0.2694
-5.2809 -3.5574 2.7112
Sb As Au
2 1 1
direct
0.0107 0.0107 0.9679
0.2437 0.2437 0.2688
0.4908 0.4908 0.5275
0.7547 0.7547 0.7358
```

Space group = R3m
Total magnetization = 0.00 μB/atom
Electronic total energy = -4.527 eV per atom
Formation energy without anion corrections = 0.04 eV/f.u.

[3]
The following is a DFT calculation (PBEsol) of Sb2AsAu after structural relaxation.

```
Sb2AsAu
1.0
-0.3720 -2.3340 -3.1741
4.0963 -0.6350 -0.0131
-2.4416 -3.0204 4.9739
Sb As Au
2 1 1
direct
0.9863 0.9524 0.9726
0.2539 0.2593 0.5078
0.5150 0.5386 0.0300
0.7448 0.7497 0.4895
```

Space group = Cm
Total magnetization = 0.00 μB/atom
Electronic total energy = -4.571 eV per atom
Formation energy without anion corrections = -0.14 eV/f.u.

[4]
The following is a DFT calculation (PBEsol) of Sb2AsAu after structural relaxation.

```
Sb2AsAu
1.0
2.9306 0.0000 0.0000
0.0000 5.6479 0.0000
0.0000 0.0000 5.6479
Sb As Au
2 1 1
direct
0.0000 0.0000 0.5000
0.0000 0.5000 0.0000
0.0000 0.0000 0.0000
0.0000 0.5000 0.5000
```

Space group = P4/mmm
Total magnetization = 0.00 μB/atom
Electronic total energy = -4.500 eV per atom
Formation energy without anion corrections = 0.15 eV/f.u.

[5]
The following is a DFT calculation (PBEsol) of ScAs2Au after structural relaxation.

```
ScAs2Au
1.0
3.8675 0.0000 0.0000
0.0000 3.8675 0.0000
-1.9337 -1.9337 4.7917
As Au Sc
2 1 1
direct
0.0000 0.0000 0.0000
0.7500 0.2500 0.5000
0.5000 0.5000 0.0000
0.2500 0.7500 0.5000
```

Space group = I-4m2
DFT formation energy = -0.537 eV/atom
Total magnetization = 0.00 μB/atom
Electronic total energy = -5.723 eV per atom

[6]
The following is a DFT calculation (PBEsol) of ScAsAu2 after structural relaxation.

```
ScAsAu2
1.0
-0.1970 -3.3901 -3.0397
2.5994 -3.8176 0.6725
-2.1139 -3.9924 1.1729
As Au Sc
1 2 1
direct
0.7388 0.7612 0.7612
0.0102 0.9898 0.9898
0.2538 0.2462 0.2462
0.4972 0.5028 0.5028
```

Space group = Imm2
DFT formation energy = -0.489 eV/atom
Total magnetization = 0.00 μB/atom
Electronic total energy = -5.379 eV per atom

[7]
The following is a DFT calculation (PBEsol) of Sc2AsAu after structural relaxation.

```
Sc2AsAu
1.0
-1.8507 -0.5929 2.6384
1.4157 -0.7236 2.8653
0.0568 8.2370 3.9257
As Au Sc
1 1 2
direct
0.5020 0.5020 0.4940
0.2505 0.2505 0.2485
0.9908 0.9908 0.0277
0.7568 0.7568 0.7298
```

Space group = R3m
DFT formation energy = -0.224 eV/atom
Total magnetization = 0.27 μB/atom
Electronic total energy = -5.784 eV per atom

[8]
The following is a DFT calculation (PBEsol) of ScAsAu2 after structural relaxation.

```
ScAsAu2
1.0
3.6677 0.0000 0.0000
0.0000 3.7191 0.0000
-1.8339 0.0000 5.4118
As Au Sc
1 2 1
direct
0.3444 0.5000 0.6889
0.1720 0.0000 0.3440
0.5840 0.5000 0.1681
0.9098 0.0000 0.8195
```

Space group = Amm2
DFT formation energy = -0.588 eV/atom
Total magnetization = 0.00 μB/atom
Electronic total energy = -5.478 eV per atom